Density functional theory data (PBE-GGA) for a relaxed Mg2TaSiRh crystal.

abc: 5.1853 5.1853 4.7484
angles: 90.00 90.00 90.00
Closest atoms and distances in Å follow each position.
Space group P4/mmm (No. 123)
One atom of each set of equivalent atoms:
Mg1 0.0000 0.5000 0.0000 x2  2 Ta 2.59
Ta1 0.0000 0.0000 0.0000 x1  2 Si 2.37, 4 Mg 2.59
Si1 0.0000 0.0000 0.5000 x1  2 Ta 2.37
Rh1 0.5000 0.5000 0.5000 x1  8 Mg 3.52, 4 Si 3.67

Calculated values
**Fermi-level density of states**: 5.32 states/eV/cell
**ΔE_f (raw)**: 1.45 eV per atom